No. 1
AcCe2Sb | Alexandria | PBE | optimized geometry; electronic total energy = -5.495 eV/atom; symmetry = P4/mmm; energy above the lowest structure with this stoichiometry = 0.000 eV per atom
1.0
4.2111 0.0000 0.0000
0.0000 4.2111 0.0000
0.0000 0.0000 7.3225
Sb Ac Ce
1 1 2
direct
0.5000 0.5000 0.5000
0.5000 0.5000 0.0000
0.0000 0.0000 0.6838
0.0000 0.0000 0.3162

***

No. 2
HoScSiRh | Alexandria | PBE | optimized geometry; electronic total energy = -6.624 eV/atom; symmetry = F-43m
1.0
-0.6206 3.4451 3.2280
-4.3239 1.8752 0.6794
-2.3833 -0.9066 4.0215
Sc Si Rh Ho
1 1 1 1
direct
0.5000 0.5000 0.5000
0.7500 0.7500 0.7500
0.2500 0.2500 0.2500
0.0000 0.0000 0.0000

***

No. 3
LaIrRu2 | Alexandria | PBE | optimized geometry; electronic total energy = -7.837 eV/atom; symmetry = I-4m2; energy relative to the elements = 0.25 eV/atom; energy above the lowest structure with this stoichiometry = 0.108 eV per atom
1.0
5.0280 0.0050 0.0000
1.5821 4.7726 0.0000
-3.3051 -2.3888 2.9413
Ir La Ru
1 1 2
direct
0.5000 0.5000 0.0000
0.7500 0.2500 0.5000
0.0000 0.0000 0.0000
0.2500 0.7500 0.5000

***

No. 4
LiZrAg | Alexandria | PBE | optimized geometry; electronic total energy = -4.359 eV/atom; symmetry = Imm2; energy relative to the elements = 0.08 eV/atom; energy above the lowest structure with this stoichiometry = 0.203 eV per atom
1.0
5.1972 0.0093 -0.0009
2.6592 4.4654 0.0009
-3.4689 -3.0437 2.3903
Ag Li Zr
1 1 1
direct
0.0090 0.0090 0.0000
0.6552 0.6552 0.0000
0.3359 0.3359 0.0000

***

No. 5
Ti2Sb2Os | Alexandria | PBE | optimized geometry; electronic total energy = -6.929 eV/atom; symmetry = P4/mbm; energy above the lowest structure with this stoichiometry = 0.075 eV per atom
1.0
6.7488 0.0000 0.0000
0.0000 6.7488 0.0000
0.0000 0.0000 4.2334
Sb Os Ti
4 2 4
direct
0.1717 0.6717 0.5000
0.6717 0.8283 0.5000
0.8283 0.3283 0.5000
0.3283 0.1717 0.5000
0.0000 0.0000 0.0000
0.5000 0.5000 0.0000
0.3544 0.8544 0.0000
0.8544 0.6456 0.0000
0.6456 0.1456 0.0000
0.1456 0.3544 0.0000

***

No. 6
Mg2FeRe | Alexandria | PBE | optimized geometry; electronic total energy = -5.687 eV/atom; symmetry = Cmmm; energy relative to the elements = 0.34 eV/atom; energy above the lowest structure with this stoichiometry = 0.213 eV per atom
1.0
5.1378 -0.0157 0.0000
-2.2736 4.6073 0.0000
0.0000 0.0000 2.6385
Fe Mg Re
1 2 1
direct
0.0000 0.5000 0.5000
0.0000 0.0000 0.0000
0.5000 0.5000 0.0000
0.5000 0.0000 0.5000

***

No. 7
Ca3HfU2As6 | Alexandria | PBE | optimized geometry; electronic total energy = -6.558 eV/atom; symmetry = C2/m; energy relative to the elements = -1.02 eV/atom
1.0
-0.7456 3.8615 -5.8726
-3.7646 -5.9230 0.8365
-3.4862 4.2860 4.6819
Ca Hf U As
3 1 2 6
direct
0.1682 0.8318 0.5000
0.8318 0.1682 0.5000
0.5000 0.5000 0.5000
0.0000 0.0000 0.0000
0.3336 0.6664 0.0000
0.6664 0.3336 0.0000
0.9240 0.5988 0.7716
0.7516 0.7516 0.2292
0.0760 0.4012 0.2284
0.5988 0.9240 0.7716
0.2484 0.2484 0.7708
0.4012 0.0760 0.2284

***

No. 8
TbPm2SmTl2 | Alexandria | PBE | optimized geometry; electronic total energy = -4.204 eV/atom; symmetry = Pmc2_1; energy relative to the elements = -0.27 eV/atom
1.0
5.2040 0.0000 0.0000
0.0000 6.8885 0.0000
0.0000 0.0000 10.2001
Tb Pm Sm Tl
2 4 2 4
direct
0.5000 0.1841 0.6853
0.5000 0.6841 0.3147
0.5000 0.0539 0.0432
0.0000 0.3282 0.1838
0.5000 0.5539 0.9568
0.0000 0.8282 0.8162
0.0000 0.9623 0.4578
0.0000 0.4623 0.5422
0.0000 0.2972 0.8590
0.5000 0.2198 0.3690
0.0000 0.7972 0.1410
0.5000 0.7198 0.6310